Pr8NdCo2, optimized geometry, DFT GGA-PBE; formation enthalpy at 0 K = 109 meV per atom; density of states at the Fermi level = 12.74 states/eV per cell; SG = No. 12; E = -5.092 eV per atom
1.0
6.343 -4.196 0.000
6.343 4.196 0.000
-2.524 0.000 6.889
Pr Nd Co
8 1 2
Cartesian
3.170 2.540 4.713
0.105 0.000 5.669
6.992 2.540 2.176
3.939 0.000 2.142
6.223 0.000 4.747
3.170 -2.540 4.713
10.057 0.000 1.220
6.992 -2.540 2.176
6.343 0.000 0.000
2.319 0.000 4.160
7.843 0.000 2.729

Pr3Nd3Co2, optimized geometry, DFT GGA-PBE; formation enthalpy at 0 K = 35 meV per atom; density of states at the Fermi level = 19.78 states/eV per cell; SG = No. 63; E = -5.322 eV per atom
1.0
1.872 -6.830 0.000
1.872 6.830 0.000
0.000 0.000 18.838
Pr Nd Co
6 6 4
Cartesian
1.872 5.946 11.081
1.872 5.946 17.176
1.872 3.082 14.128
1.872 -3.082 4.709
1.872 -5.946 1.662
1.872 -5.946 7.757
1.872 2.423 10.666
1.872 2.423 17.590
1.872 0.695 4.709
1.872 -0.695 14.128
1.872 -2.423 1.247
1.872 -2.423 8.171
1.872 2.684 2.582
1.872 2.684 6.837
1.872 -2.684 12.001
1.872 -2.684 16.256

PrNd2Co9, optimized geometry, DFT GGA-PBE; formation enthalpy at 0 K = -34 meV per atom; density of states at the Fermi level = 18.34 states/eV per cell; SG = No. 166; E = -6.556 eV per atom
1.0
2.533 1.462 8.270
-2.533 1.462 8.270
0.000 -2.924 8.270
Pr Nd Co
1 2 9
Cartesian
0.000 0.000 0.000
0.000 0.000 3.473
0.000 0.000 21.338
-1.259 -0.727 10.251
0.000 0.000 8.275
0.000 -1.453 14.561
-1.259 0.727 14.561
0.000 0.000 12.406
1.259 -0.727 10.251
0.000 1.453 10.251
0.000 0.000 16.537
1.259 0.727 14.561

> What is the density of states at the Fermi level in the second record?

19.78 states/eV per cell